Here is a crystal of LaInNi2 relaxed with PBEsol from Alexandria. Energies are from SCAN.

Lattice parameters (Å, degrees): 3.988 3.988 9.388 90.00 90.00 90.00
Space group I-4m2 (No. 119)
Asymmetric unit:
La 0.000 0.000 0.000 x2
In 0.000 0.500 0.750 x2
Ni 0.000 0.000 0.500 x2
Ni 0.000 0.500 0.250 x2

- Formation enthalpy at 0 K: 0.0719 eV/atom
- Calculated density: 8.26 Mg/m³
- Crystal system: tetragonal

***

Here is a crystal of La11In9Ni4 relaxed with PBEsol from Alexandria. Energies are from SCAN.

Lattice parameters (Å, degrees): 14.860 22.175 3.778 90.00 90.00 90.00
Space group Cmmm (No. 65)
Asymmetric unit:
La 0.000 0.000 0.000 x2
La 0.000 0.160 0.000 x4
La 0.000 0.375 0.000 x4
La 0.186 0.500 0.000 x4
La 0.247 0.171 0.000 x8
In 0.000 0.500 0.500 x2
In 0.101 0.265 0.500 x8
In 0.153 0.069 0.500 x8
Ni 0.155 0.398 0.500 x8

- Formation enthalpy at 0 K: -0.6196 eV/atom
- Calculated density: 7.46 Mg/m³
- Crystal system: orthorhombic

***

Here is a crystal of La2InNi2 relaxed with PBEsol from Alexandria. Energies are from SCAN.

Lattice parameters (Å, degrees): 7.484 7.484 3.838 90.00 90.00 90.00
Space group P4/mbm (No. 127)
Asymmetric unit:
La 0.175 0.325 0.000 x4
In 0.000 0.000 0.500 x2
Ni 0.121 0.621 0.500 x4

- Formation enthalpy at 0 K: -0.4537 eV/atom
- Calculated density: 7.88 Mg/m³
- Crystal system: tetragonal

***

Here is a crystal of LaInNi2 relaxed with PBEsol from Alexandria. Energies are from SCAN.

Lattice parameters (Å, degrees): 5.191 4.055 7.085 90.00 90.00 90.00
Space group Pmma (No. 51)
Asymmetric unit:
La 0.250 0.000 0.228 x2
In 0.250 0.500 0.841 x2
Ni 0.000 0.500 0.500 x2
Ni 0.250 0.000 0.607 x2

- Formation enthalpy at 0 K: -0.4314 eV/atom
- Calculated density: 8.26 Mg/m³
- Crystal system: orthorhombic

***

Here is a crystal of LaInO3 relaxed with PBEsol from Alexandria. Energies are from SCAN.

Lattice parameters (Å, degrees): 5.939 8.223 5.701 90.00 90.00 90.00
Space group Pnma (No. 62)
Asymmetric unit:
La 0.056 0.250 0.017 x4
In 0.000 0.000 0.500 x4
O 0.048 0.750 0.382 x4
O 0.198 0.562 0.805 x8

- Calculated density: 7.20 Mg/m³
- Crystal system: orthorhombic
- E: -21.8442 eV per atom

***

Here is a crystal of La2InO2 relaxed with PBEsol from Alexandria. Energies are from SCAN.

Lattice parameters (Å, degrees): 4.053 4.053 13.960 90.00 90.00 90.00
Space group I4/mmm (No. 139)
Asymmetric unit:
La 0.000 0.000 0.164 x4
In 0.000 0.000 0.500 x2
O 0.000 0.500 0.250 x4

- Calculated density: 6.15 Mg/m³
- Crystal system: tetragonal
- E: -29.1132 eV per atom

***

Here is a crystal of LaInOs relaxed with PBEsol from Alexandria. Energies are from SCAN.

Lattice parameters (Å, degrees): 3.344 3.344 11.911 90.00 90.00 90.00
Space group I4mm (No. 107)
Asymmetric unit:
La 0.000 0.000 0.000 x2
In 0.000 0.000 0.723 x2
Os 0.000 0.000 0.347 x2

- Formation enthalpy at 0 K: -0.0705 eV/atom
- Calculated density: 11.07 Mg/m³
- Crystal system: tetragonal

***

Here is a crystal of LaInOs relaxed with PBEsol from Alexandria. Energies are from SCAN.

Lattice parameters (Å, degrees): 4.6336 4.6336 3.7688 90.00 90.00 120.00
Space group P-6m2 (No. 187)
Asymmetric unit:
La 0.0000 0.0000 0.0000 x1
In 0.3333 0.6667 0.5000 x1
Os 0.6667 0.3333 0.5000 x1

- Formation enthalpy at 0 K: -0.0081 eV/atom
- Calculated density: 10.52 Mg/m³
- Crystal system: hexagonal

***

Here is a crystal of LaInOs2 relaxed with PBEsol from Alexandria. Energies are from SCAN.

Lattice parameters (Å, degrees): 2.9876 2.9876 28.4218 90.00 90.00 120.00
Space group R-3m (No. 166, hexagonal axes)
Asymmetric unit:
La 0.0000 0.0000 0.0000 x3
In 0.0000 0.0000 0.5000 x3
Os 0.0000 0.0000 0.2427 x6

- Formation enthalpy at 0 K: 0.7943 eV/atom
- Calculated density: 14.38 Mg/m³
- Crystal system: trigonal

***

Here is a crystal of LaInOs2 relaxed with PBEsol from Alexandria. Energies are from SCAN.

Lattice parameters (Å, degrees): 3.304 5.238 8.812 90.00 90.00 90.00
Space group Immm (No. 71)
Asymmetric unit:
La 0.000 0.000 0.000 x2
In 0.000 0.000 0.500 x2
Os 0.000 0.500 0.245 x4

- Formation enthalpy at 0 K: 0.6937 eV/atom
- Calculated density: 13.81 Mg/m³
- Crystal system: orthorhombic

***

Here is a crystal of LaSc2InOs relaxed with PBEsol from Alexandria. Energies are from SCAN.

Lattice parameters (Å, degrees): 5.192 5.192 4.953 90.00 90.00 90.00
Space group P4/mmm (No. 123)
Asymmetric unit:
La 0.000 0.000 0.000 x1
Sc 0.000 0.500 0.500 x2
In 0.500 0.500 0.500 x1
Os 0.500 0.500 0.000 x1

- Formation enthalpy at 0 K: 0.6718 eV/atom
- Calculated density: 6.64 Mg/m³
- Crystal system: tetragonal

***

Here is a crystal of LaInP2 relaxed with PBEsol from Alexandria. Energies are from SCAN.

Lattice parameters (Å, degrees): 4.075 4.075 5.816 90.00 90.00 90.00
Space group P4mm (No. 99)
Asymmetric unit:
La 0.000 0.000 0.000 x1
In 0.500 0.500 0.528 x1
P 0.000 0.000 0.510 x1
P 0.500 0.500 0.049 x1

- Formation enthalpy at 0 K: -0.7406 eV/atom
- Calculated density: 5.43 Mg/m³
- Crystal system: tetragonal

***

Here is a crystal of LaIn4P relaxed with PBEsol from Alexandria. Energies are from SCAN.

Lattice parameters (Å, degrees): 8.415 8.415 8.415 90.00 90.00 90.00
Space group F-43m (No. 216)
Asymmetric unit:
La 0.000 0.000 0.000 x4
In 0.124 0.124 0.624 x16
P 0.250 0.250 0.250 x4

- Formation enthalpy at 0 K: -0.0102 eV/atom
- Calculated density: 7.01 Mg/m³
- Crystal system: cubic

***

Here is a crystal of LaInP2 relaxed with PBEsol from Alexandria. Energies are from SCAN.

Lattice parameters (Å, degrees): 4.071 4.071 10.369 90.00 90.00 90.00
Space group I-4m2 (No. 119)
Asymmetric unit:
La 0.000 0.000 0.000 x2
In 0.000 0.500 0.750 x2
P 0.000 0.000 0.500 x2
P 0.000 0.500 0.250 x2

- Formation enthalpy at 0 K: -0.5526 eV/atom
- Calculated density: 6.10 Mg/m³
- Crystal system: tetragonal

***

Here is a crystal of La3InP relaxed with PBEsol from Alexandria. Energies are from SCAN.

Lattice parameters (Å, degrees): 5.519 5.519 5.519 90.00 90.00 90.00
Space group Pm-3m (No. 221)
Asymmetric unit:
La 0.000 0.000 0.500 x3
In 0.500 0.500 0.500 x1
P 0.000 0.000 0.000 x1

- Formation enthalpy at 0 K: -0.8600 eV/atom
- Calculated density: 5.56 Mg/m³
- Crystal system: cubic

***

Here is a crystal of LaIn3P relaxed with PBEsol from Alexandria. Energies are from SCAN.

Lattice parameters (Å, degrees): 5.163 5.163 5.163 90.00 90.00 90.00
Space group Pm-3m (No. 221)
Asymmetric unit:
La 0.000 0.000 0.000 x1
In 0.000 0.500 0.500 x3
P 0.500 0.500 0.500 x1

- Formation enthalpy at 0 K: 0.0564 eV/atom
- Calculated density: 6.21 Mg/m³
- Crystal system: cubic

***

Here is a crystal of LaInP2 relaxed with PBEsol from Alexandria. Energies are from SCAN.

Lattice parameters (Å, degrees): 7.025 7.025 7.025 90.00 90.00 90.00
Space group F-43m (No. 216)
Asymmetric unit:
La 0.000 0.000 0.000 x4
In 0.250 0.250 0.750 x4
P 0.000 0.000 0.500 x4
P 0.250 0.250 0.250 x4

- Formation enthalpy at 0 K: -0.0895 eV/atom
- Calculated density: 6.05 Mg/m³
- Crystal system: cubic

***

Here is a crystal of La2InPb relaxed with PBEsol from Alexandria. Energies are from SCAN.

Lattice parameters (Å, degrees): 3.576 3.576 9.175 90.00 90.00 90.00
Space group P4/mmm (No. 123)
Asymmetric unit:
La 0.000 0.000 0.247 x2
In 0.500 0.500 0.000 x1
Pb 0.500 0.500 0.500 x1

- Formation enthalpy at 0 K: -0.7352 eV/atom
- Calculated density: 8.49 Mg/m³
- Crystal system: tetragonal

***

Here is a crystal of La2InPb relaxed with PBEsol from Alexandria. Energies are from SCAN.

Lattice parameters (Å, degrees): 5.062 5.062 9.160 90.00 90.00 90.00
Space group I4/mmm (No. 139)
Asymmetric unit:
La 0.000 0.500 0.250 x4
In 0.000 0.000 0.000 x2
Pb 0.000 0.000 0.500 x2

- Formation enthalpy at 0 K: -0.7459 eV/atom
- Calculated density: 8.49 Mg/m³
- Crystal system: tetragonal

***

Here is a crystal of La2InPb2 relaxed with PBEsol from Alexandria. Energies are from SCAN.

Lattice parameters (Å, degrees): 8.073 8.073 4.669 90.00 90.00 90.00
Space group P4/mbm (No. 127)
Asymmetric unit:
La 0.174 0.326 0.000 x4
In 0.000 0.000 0.500 x2
Pb 0.132 0.632 0.500 x4

- Formation enthalpy at 0 K: -0.7630 eV/atom
- Calculated density: 8.81 Mg/m³
- Crystal system: tetragonal